DFT (PBE) results for crystalline ZnCu8Pd2 at its relaxed geometry.

Structure (POSCAR):
```
ZnCu8Pd2
1.0
-2.787 4.015 3.143
-0.472 2.089 -4.034
-2.428 -6.559 -0.352
Cu Pd Zn
8 2 1
Direct
0.171 0.093 0.453
0.904 0.453 0.265
0.638 0.808 0.091
0.362 0.192 0.909
0.829 0.907 0.547
0.268 0.632 0.179
0.732 0.368 0.821
0.096 0.547 0.735
0.452 0.739 0.641
0.548 0.261 0.359
0.000 0.000 0.000
```

Summary:
Calculated volume in Å³/atom: 12.74
Magnetization in μB per formula unit: 0.0
Raw total energy in eV/atom: -4.136